(1)
{"formula": "Mg2FeOs", "functional": "GGA-PBE", "state": "relaxed", "lattice": [[3.289, 0.000, 0.000], [0.000, 4.247, 0.000], [0.000, 0.000, 8.646]], "species": ["Mg", "Mg", "Mg", "Mg", "Fe", "Fe", "Os", "Os"], "fractional_positions": [[0.000, 0.000, 0.246], [0.000, 0.000, 0.754], [0.500, 0.500, 0.254], [0.500, 0.500, 0.746], [0.000, 0.500, 0.500], [0.500, 0.000, 0.000], [0.000, 0.500, 0.000], [0.500, 0.000, 0.500]], "spacegroup": "Immm"}

(2)
{"formula": "La2PmDy2Ho", "functional": "GGA-PBE", "state": "relaxed", "lattice": [[7.085, 0.000, 0.000], [0.000, 5.735, 0.000], [0.000, 0.000, 9.966]], "species": ["La", "La", "La", "La", "Pm", "Pm", "Dy", "Dy", "Dy", "Dy", "Ho", "Ho"], "fractional_positions": [[0.000, 0.000, 0.000], [0.250, 0.500, 0.171], [0.500, 0.000, 0.000], [0.750, 0.500, 0.829], [0.000, 0.500, 0.500], [0.500, 0.500, 0.500], [0.250, 0.000, 0.334], [0.250, 0.500, 0.833], [0.750, 0.000, 0.666], [0.750, 0.500, 0.167], [0.250, 0.000, 0.663], [0.750, 0.000, 0.337]], "spacegroup": "Pmma"}

What are the final energy values for these records? In order: -5.479, -4.662 eV per atom.
What are the V values for these records? In order: 120.8, 404.9 Å³ per cell.
What are the energy of formation from the pure elements values for these records? In order: 23, 7 kJ per mole of atoms.